Record 1
The following is a GGA-PBE calculation of crystalline PrDyGaCu at its relaxed geometry, from Alexandria.

abc: 7.2269 7.2269 7.2269
angles: 90.00 90.00 90.00
Last column: nearest neighbours and their distance in Å.
Space group F-43m (No. 216)
Inequivalent atoms, fractional coordinates:
Pr: 0.0000 0.0000 0.0000 (multiplicity 4)  4 Cu 3.13, 4 Ga 3.13
Dy: 0.0000 0.0000 0.5000 (multiplicity 4)  4 Ga 3.13, 4 Cu 3.13
Ga: 0.2500 0.2500 0.2500 (multiplicity 4)  4 Dy 3.13, 4 Pr 3.13
Cu: 0.2500 0.2500 0.7500 (multiplicity 4)  4 Dy 3.13, 4 Pr 3.13

Values from the calculation:
mass density	7.684	g/cm3
D(E_F)	15.14	states/eV per cell
ΔE_f	-0.36	eV/atom
V	23.59	Å³ per atom
uncorrected energy	-4.4829	eV/atom


Record 2
The following is a GGA-PBE calculation of crystalline PrDyGa2Cu2 at its relaxed geometry, from Alexandria.

abc: 4.3794 4.3794 7.4316
angles: 90.00 90.00 120.00
Last column: nearest neighbours and their distance in Å.
Space group P-3m1 (No. 164)
Inequivalent atoms, fractional coordinates:
Pr: 0.0000 0.0000 0.0000 (multiplicity 1)  6 Ga 3.23, 6 Cu 3.28
Dy: 0.0000 0.0000 0.5000 (multiplicity 1)  6 Cu 3.01, 6 Ga 3.05
Ga: 0.3333 0.6667 0.2707 (multiplicity 2)  3 Cu 2.53
Cu: 0.3333 0.6667 0.7189 (multiplicity 2)  3 Ga 2.53

Values from the calculation:
mass density	7.667	g/cm3
D(E_F)	6.72	states/eV per cell
ΔE_f	-0.47	eV/atom
V	20.57	Å³ per atom
uncorrected energy	-4.4088	eV/atom


Record 3
The following is a GGA-PBE calculation of crystalline DyGaCuPt at its relaxed geometry, from Alexandria.

abc: 6.5748 6.5748 6.5748
angles: 90.00 90.00 90.00
Last column: nearest neighbours and their distance in Å.
Space group F-43m (No. 216)
Inequivalent atoms, fractional coordinates:
Dy: 0.0000 0.0000 0.0000 (multiplicity 4)  4 Cu 2.85, 4 Pt 2.85
Ga: 0.0000 0.0000 0.5000 (multiplicity 4)  4 Cu 2.85, 4 Pt 2.85
Cu: 0.2500 0.2500 0.7500 (multiplicity 4)  4 Dy 2.85, 4 Ga 2.85
Pt: 0.2500 0.2500 0.2500 (multiplicity 4)  4 Dy 2.85, 4 Ga 2.85

Values from the calculation:
mass density	11.471	g/cm3
D(E_F)	6.53	states/eV per cell
ΔE_f	-0.64	eV/atom
V	17.76	Å³ per atom
uncorrected energy	-5.0796	eV/atom


Record 4
The following is a GGA-PBE calculation of crystalline DyGa4CuPt2 at its relaxed geometry, from Alexandria.

abc: 4.2815 4.2815 25.6563
angles: 90.00 90.00 120.00
Last column: nearest neighbours and their distance in Å.
Space group R-3m (No. 166, hexagonal axes)
Inequivalent atoms, fractional coordinates:
Dy: 0.0000 0.0000 0.0000 (multiplicity 3)  6 Ga 2.96
Ga: 0.0000 0.0000 0.1319 (multiplicity 6)  3 Cu 2.63, 4 Pt 2.67-2.79
Ga: 0.0000 0.0000 0.3971 (multiplicity 6)  3 Pt 2.58, 1 Cu 2.64
Cu: 0.0000 0.0000 0.5000 (multiplicity 3)  8 Ga 2.63-2.64
Pt: 0.0000 0.0000 0.2407 (multiplicity 6)  7 Ga 2.58-2.79

Values from the calculation:
mass density	10.948	g/cm3
D(E_F)	7.73	states/eV per cell
ΔE_f	-0.59	eV/atom
V	16.97	Å³ per atom
uncorrected energy	-4.6965	eV/atom


Record 5
The following is a GGA-PBE calculation of crystalline DyGa4Cu2Pt at its relaxed geometry, from Alexandria.

abc: 4.1964 4.1964 26.6986
angles: 90.00 90.00 120.00
Last column: nearest neighbours and their distance in Å.
Space group R-3m (No. 166, hexagonal axes)
Inequivalent atoms, fractional coordinates:
Dy: 0.0000 0.0000 0.0000 (multiplicity 3)  6 Ga 3.00, 6 Cu 3.28
Ga: 0.0000 0.0000 0.1265 (multiplicity 6)  3 Pt 2.65, 3 Cu 2.69, 3 Ga 2.91
Ga: 0.0000 0.0000 0.3995 (multiplicity 6)  3 Cu 2.46, 1 Pt 2.68
Cu: 0.0000 0.0000 0.2505 (multiplicity 6)  6 Ga 2.46-2.69
Pt: 0.0000 0.0000 0.5000 (multiplicity 3)  8 Ga 2.65-2.68

Values from the calculation:
mass density	9.342	g/cm3
D(E_F)	5.44	states/eV per cell
ΔE_f	-0.41	eV/atom
V	16.96	Å³ per atom
uncorrected energy	-4.2776	eV/atom


Record 6
The following is a GGA-PBE calculation of crystalline Dy2Ga4Cu3Pt at its relaxed geometry, from Alexandria.

abc: 4.1309 4.1309 10.2897
angles: 90.00 90.00 90.00
Last column: nearest neighbours and their distance in Å.
Space group P-4m2 (No. 115)
Inequivalent atoms, fractional coordinates:
Dy: 0.0000 0.5000 0.2485 (multiplicity 2)  8 Ga 3.15-3.29, 6 Cu 3.15-3.31, 2 Pt 3.31
Ga: 0.0000 0.0000 0.0000 (multiplicity 1)  4 Cu 2.48
Ga: 0.0000 0.5000 0.6374 (multiplicity 2)  3 Cu 2.36-2.50, 2 Pt 2.50
Ga: 0.5000 0.5000 0.0000 (multiplicity 1)  4 Cu 2.48
Cu: 0.0000 0.5000 0.8671 (multiplicity 2)  5 Ga 2.36-2.48
Cu: 0.5000 0.5000 0.5000 (multiplicity 1)  4 Ga 2.50
Pt: 0.0000 0.0000 0.5000 (multiplicity 1)  4 Ga 2.50

Values from the calculation:
mass density	9.359	g/cm3
D(E_F)	4.73	states/eV per cell
ΔE_f	-0.56	eV/atom
V	17.56	Å³ per atom
uncorrected energy	-4.5206	eV/atom


Record 7
The following is a GGA-PBE calculation of crystalline DyGaCuPt2 at its relaxed geometry, from Alexandria.

abc: 3.7758 3.7758 12.7154
angles: 90.00 90.00 90.00
Last column: nearest neighbours and their distance in Å.
Space group I-4m2 (No. 119)
Inequivalent atoms, fractional coordinates:
Dy: 0.0000 0.0000 0.0000 (multiplicity 2)  8 Pt 3.00
Ga: 0.0000 0.5000 0.2500 (multiplicity 2)  4 Pt 2.62, 4 Cu 2.67
Cu: 0.0000 0.5000 0.7500 (multiplicity 2)  4 Pt 2.62, 4 Ga 2.67
Pt: 0.0000 0.0000 0.3929 (multiplicity 4)  2 Cu 2.62, 2 Ga 2.62, 1 Pt 2.72

Values from the calculation:
mass density	12.567	g/cm3
D(E_F)	3.91	states/eV per cell
ΔE_f	-0.80	eV/atom
V	18.13	Å³ per atom
uncorrected energy	-5.5612	eV/atom


Record 8
The following is a GGA-PBE calculation of crystalline DyGaCuPt3 at its relaxed geometry, from Alexandria.

abc: 5.6601 13.0336 5.7030
angles: 90.00 90.00 90.00
Last column: nearest neighbours and their distance in Å.
Space group Cmcm (No. 63)
Inequivalent atoms, fractional coordinates:
Dy: 0.0000 0.1712 0.2500 (multiplicity 4)  1 Cu 2.66, 2 Pt 2.84, 2 Ga 2.92
Ga: 0.0000 0.1242 0.7500 (multiplicity 4)  5 Pt 2.49-2.60
Cu: 0.0000 0.3750 0.2500 (multiplicity 4)  4 Pt 2.57, 1 Dy 2.66, 2 Ga 2.83
Pt: 0.0000 0.3155 0.7500 (multiplicity 4)  1 Ga 2.49
Pt: 0.2449 0.5000 0.0000 (multiplicity 8)  2 Cu 2.57, 2 Ga 2.60, 3 Pt 2.77-2.85

Values from the calculation:
mass density	13.909	g/cm3
D(E_F)	8.13	states/eV per cell
ΔE_f	-0.61	eV/atom
V	17.53	Å³ per atom
uncorrected energy	-5.5886	eV/atom


Record 9
The following is a GGA-PBE calculation of crystalline DyGa2CuPt2 at its relaxed geometry, from Alexandria.

abc: 4.3478 4.3478 6.4171
angles: 90.00 90.00 120.00
Last column: nearest neighbours and their distance in Å.
Space group P-3m1 (No. 164)
Inequivalent atoms, fractional coordinates:
Dy: 0.0000 0.0000 0.0000 (multiplicity 1)  6 Pt 3.08, 6 Ga 3.20, 2 Cu 3.21
Ga: 0.3333 0.6667 0.3093 (multiplicity 2)  4 Pt 2.52-2.64, 3 Cu 2.79
Cu: 0.0000 0.0000 0.5000 (multiplicity 1)  6 Ga 2.79, 6 Pt 2.88
Pt: 0.3333 0.6667 0.7206 (multiplicity 2)  4 Ga 2.52-2.64

Values from the calculation:
mass density	11.944	g/cm3
D(E_F)	2.61	states/eV per cell
ΔE_f	-0.80	eV/atom
V	17.51	Å³ per atom
uncorrected energy	-5.2712	eV/atom


Record 10
The following is a GGA-PBE calculation of crystalline DyPuGaCu at its relaxed geometry, from Alexandria.

abc: 7.0685 7.0685 7.0685
angles: 90.00 90.00 90.00
Last column: nearest neighbours and their distance in Å.
Space group F-43m (No. 216)
Inequivalent atoms, fractional coordinates:
Dy: 0.0000 0.0000 0.0000 (multiplicity 4)  4 Cu 3.06, 4 Ga 3.06
Pu: 0.0000 0.0000 0.5000 (multiplicity 4)  4 Cu 3.06, 4 Ga 3.06
Ga: 0.2500 0.2500 0.2500 (multiplicity 4)  4 Dy 3.06, 4 Pu 3.06
Cu: 0.2500 0.2500 0.7500 (multiplicity 4)  4 Dy 3.06, 4 Pu 3.06

Values from the calculation:
mass density	10.152	g/cm3
D(E_F)	30.51	states/eV per cell
ΔE_f	-0.22	eV/atom
V	22.07	Å³ per atom
uncorrected energy	-6.7295	eV/atom


Record 11
The following is a GGA-PBE calculation of crystalline DyGaCuRh at its relaxed geometry, from Alexandria.

abc: 6.4875 6.4875 6.4875
angles: 90.00 90.00 90.00
Last column: nearest neighbours and their distance in Å.
Space group F-43m (No. 216)
Inequivalent atoms, fractional coordinates:
Dy: 0.0000 0.0000 0.0000 (multiplicity 4)  4 Cu 2.81, 4 Rh 2.81
Ga: 0.0000 0.0000 0.5000 (multiplicity 4)  4 Rh 2.81, 4 Cu 2.81
Cu: 0.2500 0.2500 0.2500 (multiplicity 4)  4 Dy 2.81, 4 Ga 2.81
Rh: 0.2500 0.2500 0.7500 (multiplicity 4)  4 Dy 2.81, 4 Ga 2.81

Values from the calculation:
mass density	9.698	g/cm3
D(E_F)	12.03	states/eV per cell
ΔE_f	-0.49	eV/atom
V	17.06	Å³ per atom
uncorrected energy	-5.2564	eV/atom


Record 12
The following is a GGA-PBE calculation of crystalline Dy2Ga4CuRh3 at its relaxed geometry, from Alexandria.

abc: 3.9797 3.9797 11.2882
angles: 90.00 90.00 90.00
Last column: nearest neighbours and their distance in Å.
Space group P-4m2 (No. 115)
Inequivalent atoms, fractional coordinates:
Dy: 0.0000 0.5000 0.2392 (multiplicity 2)  4 Rh 3.01, 8 Ga 3.16-3.35
Ga: 0.0000 0.0000 0.0000 (multiplicity 1)  4 Rh 2.57, 4 Ga 2.81
Ga: 0.0000 0.5000 0.6333 (multiplicity 2)  3 Rh 2.49-2.51, 2 Cu 2.49
Ga: 0.5000 0.5000 0.0000 (multiplicity 1)  4 Rh 2.57, 4 Ga 2.81
Cu: 0.0000 0.0000 0.5000 (multiplicity 1)  4 Ga 2.49
Rh: 0.0000 0.5000 0.8560 (multiplicity 2)  5 Ga 2.51-2.57
Rh: 0.5000 0.5000 0.5000 (multiplicity 1)  4 Ga 2.49

Values from the calculation:
mass density	9.066	g/cm3
D(E_F)	4.59	states/eV per cell
ΔE_f	-0.69	eV/atom
V	17.88	Å³ per atom
uncorrected energy	-5.4325	eV/atom